1.
{
  "formula": "KAlAsS4",
  "functional": "PBE",
  "state": "optimized geometry",
  "density_g_cm3": 2.28,
  "total_energy_ev_per_atom": -4.35,
  "lattice_angstrom": [[-4.7172, 4.8570, -0.4210], [-3.6607, -3.9157, -4.1577], [2.1673, -2.1432, 5.6445]],
  "species": ["S", "S", "K", "Al", "S", "As", "S"],
  "fractional_positions": [[0.1895, 0.1312, 0.7185], [0.4127, 0.8105, 0.2815], [0.0000, 0.0000, 0.0000], [0.5000, 0.5000, 0.0000], [0.8688, 0.4710, 0.2815], [0.2500, 0.7500, 0.5000], [0.5290, 0.5873, 0.7185]]
}

***

2.
{
  "formula": "KAlTcAs2",
  "functional": "PBE",
  "state": "optimized geometry",
  "density_g_cm3": 3.75,
  "total_energy_ev_per_atom": -4.32,
  "lattice_angstrom": [[4.8025, 0.0000, 0.0000], [0.0000, 6.0217, 0.0000], [0.0000, 0.0000, 4.8025]],
  "species": ["As", "Al", "Tc", "As", "K"],
  "fractional_positions": [[0.0000, 0.0000, 0.5000], [0.5000, 0.5000, 0.5000], [0.0000, 0.0000, 0.0000], [0.5000, 0.0000, 0.0000], [0.0000, 0.5000, 0.0000]]
}

***

3.
{
  "formula": "KAlTe3As",
  "functional": "PBE",
  "state": "optimized geometry",
  "density_g_cm3": 3.92,
  "total_energy_ev_per_atom": -3.54,
  "lattice_angstrom": [[-2.8557, 0.2022, 3.1281], [-7.1859, -0.8447, -6.5056], [2.1094, -10.4920, 2.6038]],
  "species": ["K", "As", "As", "Te", "Al", "Te", "Te", "Te", "Al", "K", "Te", "Te"],
  "fractional_positions": [[0.2500, 0.1633, 0.1916], [0.7500, 0.3768, 0.8511], [0.2500, 0.6232, 0.1489], [0.2500, 0.5595, 0.8614], [0.7500, 0.9116, 0.3876], [0.2500, 0.1408, 0.8503], [0.7500, 0.1885, 0.5057], [0.7500, 0.8592, 0.1497], [0.2500, 0.0884, 0.6124], [0.7500, 0.8367, 0.8084], [0.7500, 0.4405, 0.1386], [0.2500, 0.8115, 0.4943]]
}

***

4.
{
  "formula": "LaAl2As",
  "functional": "PBE",
  "state": "optimized geometry",
  "density_g_cm3": 4.93,
  "total_energy_ev_per_atom": -4.51,
  "lattice_angstrom": [[5.0332, 0.0000, 0.0000], [2.5166, 4.3589, 0.0000], [2.5166, 1.4530, 4.1096]],
  "species": ["As", "Al", "Al", "La"],
  "fractional_positions": [[0.5000, 0.5000, 0.5000], [0.2500, 0.2500, 0.2500], [0.0000, 0.0000, 0.0000], [0.7500, 0.7500, 0.7500]]
}

***

5.
{
  "formula": "LaAlAs",
  "functional": "PBE",
  "state": "optimized geometry",
  "density_g_cm3": 5.74,
  "total_energy_ev_per_atom": -5.02,
  "lattice_angstrom": [[-0.0633, -3.9454, -4.4483], [-2.0520, -5.5806, -0.0547], [-1.2322, 5.6120, 1.5310]],
  "species": ["La", "As", "Al"],
  "fractional_positions": [[0.6691, 0.6691, 0.0000], [0.3677, 0.3677, 0.0000], [0.9632, 0.9632, 0.0000]]
}

***

6.
{
  "formula": "LaAl2As",
  "functional": "PBE",
  "state": "optimized geometry",
  "density_g_cm3": 4.60,
  "total_energy_ev_per_atom": -4.61,
  "lattice_angstrom": [[7.9962, 0.0000, 0.0000], [0.0000, 7.9962, 0.0000], [3.9981, 3.9981, 3.0256]],
  "species": ["As", "La", "Al", "Al", "Al", "As", "Al", "La"],
  "fractional_positions": [[0.2500, 0.7500, 0.5000], [0.7500, 0.2500, 0.5000], [0.5692, 0.1250, 0.2500], [0.3750, 0.4308, 0.7500], [0.1808, 0.6250, 0.2500], [0.5000, 0.5000, 0.0000], [0.8750, 0.8192, 0.7500], [0.0000, 0.0000, 0.0000]]
}

***

7.
{
  "formula": "LaAl2As",
  "functional": "PBE",
  "state": "optimized geometry",
  "density_g_cm3": 4.48,
  "total_energy_ev_per_atom": -4.36,
  "lattice_angstrom": [[-7.2741, 0.8911, 4.0624], [-8.3177, -0.6370, 0.7876], [-7.0365, -2.8294, 3.5626]],
  "species": ["Al", "La", "As", "Al"],
  "fractional_positions": [[0.9778, 0.9778, 0.9778], [0.7500, 0.7500, 0.7500], [0.2500, 0.2500, 0.2500], [0.5222, 0.5222, 0.5222]]
}

***

8.
{
  "formula": "LaAlAs",
  "functional": "PBE",
  "state": "optimized geometry",
  "density_g_cm3": 4.87,
  "total_energy_ev_per_atom": -4.83,
  "lattice_angstrom": [[4.8785, 0.0000, 0.0000], [2.4393, 4.2249, 0.0000], [2.4393, 1.4083, 3.9833]],
  "species": ["As", "La", "Al"],
  "fractional_positions": [[0.7500, 0.7500, 0.7500], [0.0000, 0.0000, 0.0000], [0.5000, 0.5000, 0.5000]]
}

***

9.
{
  "formula": "LaAl2As",
  "functional": "PBE",
  "state": "optimized geometry",
  "density_g_cm3": 5.10,
  "total_energy_ev_per_atom": -4.72,
  "lattice_angstrom": [[-3.1160, 1.8693, 0.1029], [-1.7347, -2.9580, 1.2065], [1.2774, 1.7872, 6.2185]],
  "species": ["La", "Al", "Al", "As"],
  "fractional_positions": [[0.5000, 0.5000, 0.7445], [0.0000, 0.0000, 0.0580], [0.5000, 0.5000, 0.2530], [0.0000, 0.0000, 0.4445]]
}

***

10.
{
  "formula": "LaAlAs",
  "functional": "PBE",
  "state": "optimized geometry",
  "density_g_cm3": 4.54,
  "total_energy_ev_per_atom": -4.61,
  "lattice_angstrom": [[4.9949, 0.0000, 0.0000], [2.4974, 4.3257, 0.0000], [2.4974, 1.4419, 4.0783]],
  "species": ["As", "Al", "La"],
  "fractional_positions": [[0.5000, 0.5000, 0.5000], [0.0000, 0.0000, 0.0000], [0.7500, 0.7500, 0.7500]]
}

***

11.
{
  "formula": "LaAl2As",
  "functional": "PBE",
  "state": "optimized geometry",
  "density_g_cm3": 4.82,
  "total_energy_ev_per_atom": -4.69,
  "lattice_angstrom": [[6.0316, 0.0005, 0.0000], [3.1217, 5.1610, 0.0000], [-4.5767, -2.5807, 2.9622]],
  "species": ["As", "La", "Al", "Al"],
  "fractional_positions": [[0.2500, 0.7500, 0.5000], [0.7500, 0.2500, 0.5000], [0.5000, 0.5000, 0.0000], [0.0000, 0.0000, 0.0000]]
}

***

12.
{
  "formula": "La4AlAs",
  "functional": "PBE",
  "state": "optimized geometry",
  "density_g_cm3": 6.05,
  "total_energy_ev_per_atom": -4.52,
  "lattice_angstrom": [[0.0000, 4.4859, 4.4859], [4.4859, 0.0000, 4.4859], [4.4859, 4.4859, 0.0000]],
  "species": ["La", "La", "La", "La", "As", "Al"],
  "fractional_positions": [[0.3755, 0.3755, 0.8734], [0.8734, 0.3755, 0.3755], [0.3755, 0.8734, 0.3755], [0.3755, 0.3755, 0.3755], [0.0000, 0.0000, 0.0000], [0.7500, 0.7500, 0.7500]]
}

***

13.
{
  "formula": "LaAl2As",
  "functional": "PBE",
  "state": "optimized geometry",
  "density_g_cm3": 5.00,
  "total_energy_ev_per_atom": -4.68,
  "lattice_angstrom": [[5.5685, -0.0074, 0.0000], [2.1242, 5.1475, 0.0000], [-3.8464, -2.5700, 3.0998]],
  "species": ["Al", "La", "As", "Al"],
  "fractional_positions": [[0.0000, 0.0000, 0.0000], [0.7500, 0.2500, 0.5000], [0.5000, 0.5000, 0.0000], [0.2500, 0.7500, 0.5000]]
}

***

14.
{
  "formula": "LaAlAs",
  "functional": "PBE",
  "state": "optimized geometry",
  "density_g_cm3": 4.72,
  "total_energy_ev_per_atom": -5.23,
  "lattice_angstrom": [[-4.8296, 0.2385, -1.0934], [-2.4125, -4.0733, -1.4715], [-4.2117, -2.9504, 6.7208]],
  "species": ["As", "La", "Al", "La", "Al", "As"],
  "fractional_positions": [[0.2823, 0.2823, 0.1531], [0.5914, 0.5914, 0.2257], [0.8230, 0.8230, 0.5311], [0.4086, 0.4086, 0.7743], [0.1770, 0.1770, 0.4689], [0.7177, 0.7177, 0.8469]]
}

***

15.
{
  "formula": "LaAl2As",
  "functional": "PBE",
  "state": "optimized geometry",
  "density_g_cm3": 4.57,
  "total_energy_ev_per_atom": -4.67,
  "lattice_angstrom": [[4.7735, 0.0000, 0.0000], [0.0000, 4.5363, 0.0369], [0.0000, 0.5943, 4.5002]],
  "species": ["La", "As", "Al", "Al"],
  "fractional_positions": [[0.5000, 0.7500, 0.7500], [0.5000, 0.2500, 0.2500], [0.0000, 0.0562, 0.0583], [0.0000, 0.4438, 0.4417]]
}

***

16.
{
  "formula": "LaAlAs",
  "functional": "PBE",
  "state": "optimized geometry",
  "density_g_cm3": 5.54,
  "total_energy_ev_per_atom": -5.20,
  "lattice_angstrom": [[-0.3407, -3.8101, 2.3418], [-1.1181, 0.0706, -4.3430], [3.8960, -0.9747, -1.0189]],
  "species": ["As", "Al", "La"],
  "fractional_positions": [[0.6667, 0.3333, 0.1668], [0.0000, 0.0000, 0.1664], [0.3333, 0.6667, 0.6667]]
}

***

17.
{
  "formula": "LaAl2As",
  "functional": "PBE",
  "state": "optimized geometry",
  "density_g_cm3": 5.04,
  "total_energy_ev_per_atom": -4.56,
  "lattice_angstrom": [[-0.9018, 0.5390, 3.4518], [2.6774, -2.1848, 1.0377], [4.2203, 5.3022, 0.2747]],
  "species": ["As", "La", "Al", "Al"],
  "fractional_positions": [[0.5000, 0.5000, 0.2500], [0.5000, 0.5000, 0.7500], [0.0000, 0.0000, 0.4411], [0.0000, 0.0000, 0.0589]]
}

***

18.
{
  "formula": "LaAl2As",
  "functional": "PBE",
  "state": "optimized geometry",
  "density_g_cm3": 4.84,
  "total_energy_ev_per_atom": -4.76,
  "lattice_angstrom": [[4.9234, 0.0113, -0.0023], [3.3479, 3.6099, -0.0023], [1.5773, 0.6906, 5.1815]],
  "species": ["Al", "La", "As", "Al"],
  "fractional_positions": [[0.2532, 0.2532, 0.2394], [0.7484, 0.7484, 0.7563], [0.5171, 0.5171, 0.4033], [0.9812, 0.9812, 0.1010]]
}

***

19.
{
  "formula": "LaAl2As",
  "functional": "PBE",
  "state": "optimized geometry",
  "density_g_cm3": 5.02,
  "total_energy_ev_per_atom": -4.75,
  "lattice_angstrom": [[-2.7237, 0.0995, 3.3549], [1.1134, -4.0491, 1.0241], [3.4721, 1.6552, 2.7698]],
  "species": ["As", "La", "Al", "Al"],
  "fractional_positions": [[0.5000, 0.0000, 0.5000], [0.0000, 0.5000, 0.5000], [0.0000, 0.0000, 0.0000], [0.5000, 0.5000, 0.0000]]
}

***

20.
{
  "formula": "La2AlAs2",
  "functional": "PBE",
  "state": "optimized geometry",
  "density_g_cm3": 5.88,
  "total_energy_ev_per_atom": -5.60,
  "lattice_angstrom": [[7.8827, 0.0000, 0.0000], [0.0000, 7.8827, 0.0000], [0.0000, 0.0000, 4.1356]],
  "species": ["La", "As", "Al", "Al", "La", "As", "As", "La", "As", "La"],
  "fractional_positions": [[0.3446, 0.1554, 0.5000], [0.3448, 0.8448, 0.0000], [0.0000, 0.0000, 0.0000], [0.5000, 0.5000, 0.0000], [0.8446, 0.3446, 0.5000], [0.1552, 0.3448, 0.0000], [0.8448, 0.6552, 0.0000], [0.1554, 0.6554, 0.5000], [0.6552, 0.1552, 0.0000], [0.6554, 0.8446, 0.5000]]
}